[1]
CaVRe GGA-PBE optimized geometry; SG = I4mm, No. 107
1.0
3.219 0.000 0.000
0.000 3.219 0.000
0.000 0.000 11.322
Re Ca V
2 2 2
Direct
0.000 0.000 0.742 Re
0.500 0.500 0.242 Re
0.000 0.000 0.047 Ca
0.500 0.500 0.547 Ca
0.000 0.000 0.335 V
0.500 0.500 0.835 V

[2]
CaVRe GGA-PBE optimized geometry; SG = Cmcm, No. 63
1.0
4.080 0.000 0.000
0.000 11.245 0.000
0.000 0.000 5.440
Re Ca V
4 4 4
Direct
0.000 0.000 0.000 Re
0.000 0.000 0.500 Re
0.500 0.500 0.000 Re
0.500 0.500 0.500 Re
0.000 0.717 0.250 Ca
0.000 0.283 0.750 Ca
0.500 0.217 0.250 Ca
0.500 0.783 0.750 Ca
0.000 0.449 0.250 V
0.000 0.551 0.750 V
0.500 0.949 0.250 V
0.500 0.051 0.750 V

[3]
CaVRe GGA-PBE optimized geometry; SG = C2/m, No. 12
1.0
6.799 0.000 0.004
0.000 6.685 0.000
-0.092 0.000 5.817
Re Ca V
4 4 4
Direct
0.352 0.000 0.204 Re
0.648 0.000 0.796 Re
0.352 0.500 0.704 Re
0.648 0.500 0.296 Re
0.849 0.000 0.255 Ca
0.151 0.000 0.745 Ca
0.849 0.500 0.755 Ca
0.151 0.500 0.245 Ca
0.500 0.793 0.500 V
0.500 0.207 0.500 V
0.500 0.293 0.000 V
0.500 0.707 0.000 V

[4]
CaVRe GGA-PBE optimized geometry; SG = P2_1/m, No. 11
1.0
5.072 0.000 -0.005
0.000 4.358 0.000
-1.506 0.000 5.584
Re Ca V
2 2 2
Direct
0.650 0.250 0.524 Re
0.350 0.750 0.476 Re
0.262 0.250 0.942 Ca
0.738 0.750 0.058 Ca
0.074 0.250 0.402 V
0.926 0.750 0.598 V

[5]
CaVRe GGA-PBE optimized geometry; SG = C2/m, No. 12
1.0
-3.811 3.554 3.891
-2.017 0.492 -2.424
-3.571 -11.460 0.647
Re Ca V
4 4 4
Direct
0.116 0.000 0.704 Re
0.884 0.000 0.296 Re
0.116 0.500 0.204 Re
0.884 0.500 0.796 Re
0.241 0.000 0.998 Ca
0.759 0.000 0.002 Ca
0.241 0.500 0.498 Ca
0.759 0.500 0.502 Ca
0.607 0.000 0.703 V
0.393 0.000 0.297 V
0.607 0.500 0.203 V
0.393 0.500 0.797 V

[6]
CaVRe GGA-PBE optimized geometry; SG = Amm2, No. 38
1.0
-1.763 1.746 4.812
-2.040 -3.452 0.505
9.112 -4.649 5.026
Re Ca V
4 4 4
Direct
0.500 0.000 0.841 Re
0.500 0.500 0.341 Re
0.000 0.000 0.934 Re
0.000 0.500 0.434 Re
0.000 0.000 0.669 Ca
0.000 0.500 0.169 Ca
0.500 0.000 0.112 Ca
0.500 0.500 0.612 Ca
0.746 0.000 0.398 V
0.254 0.000 0.398 V
0.746 0.500 0.898 V
0.254 0.500 0.898 V

[7]
CaVRe GGA-PBE optimized geometry; SG = Cm, No. 8
1.0
-4.832 2.194 -0.744
-1.689 -2.884 2.461
1.759 6.622 8.967
Re Ca V
4 4 4
Direct
0.749 0.000 0.127 Re
0.749 0.500 0.627 Re
0.483 0.000 0.589 Re
0.483 0.500 0.089 Re
0.984 0.000 0.414 Ca
0.984 0.500 0.914 Ca
0.501 0.000 0.853 Ca
0.501 0.500 0.353 Ca
0.229 0.000 0.111 V
0.229 0.500 0.611 V
0.998 0.000 0.684 V
0.998 0.500 0.184 V

[8]
CaV2Re2 GGA-PBE optimized geometry; SG = I4/mmm, No. 139
1.0
4.169 0.000 0.000
0.000 4.169 0.000
2.084 2.084 5.487
Re Ca V
2 1 2
Direct
0.750 0.250 0.500 Re
0.250 0.750 0.500 Re
0.000 0.000 0.000 Ca
0.371 0.371 0.258 V
0.629 0.629 0.742 V

| no. | ΔH_f (0 K) (meV/atom) | offset from the most stable computed form (meV/atom) |
| --- | --- | --- |
| 1 | 336 | 177 |
| 2 | 273 | 113 |
| 3 | 335 | 176 |
| 4 | 339 | 180 |
| 5 | 377 | 217 |
| 6 | 291 | 131 |
| 7 | 303 | 144 |
| 8 | 348 | 100 |